Entry from Alexandria: a relaxed structure of MnBF2 (PBE+U).

Geometry as POSCAR:
```
MnBF2
1.0
7.7249 -0.1905 -0.1125
7.1345 2.9681 -0.1125
7.1345 1.3336 2.6540
B Mn F
1 1 2
Cartesian
0.0000 0.0000 0.0000
10.9969 2.0556 1.2145
19.3536 3.6177 2.1373
2.6403 0.4935 0.2916
```

## Properties
- uncorrected energy (eV/cell) = -20.6
- spin magnetization (μB per cell) = 5.08
- E above lowest polymorph (eV/atom) = 0.000
- DOS at the Fermi energy (states/eV per cell) = 0.753